5
Lattice="5.578 0.000 0.000 0.000 5.578 0.000 0.000 0.000 6.104" Properties=species:S:1:pos:R:3 comment="CdPb2BrCl (meta-GGA SCAN, single point on PBEsol structure)" volume_a3_per_atom=37.98 raw_formation_energy_mev_per_atom=269 sg="No. 123" pbc="T T T"
Pb 0.000 2.789 0.000
Pb 2.789 0.000 0.000
Cl 0.000 0.000 3.052
Br 0.000 0.000 0.000
Cd 2.789 2.789 3.052